[1]
Below is a relaxed structure of YTcPb2, with properties calculated at the GGA-PBE level.

```
4
Lattice="5.158 0.000 0.000 2.579 4.467 0.000 2.579 1.489 4.211" Properties=species:S:1:pos:R:3 pbc="T T T"
Pb 0.000 0.000 0.000
Pb 2.579 1.489 1.053
Y 7.737 4.467 3.158
Tc 5.158 2.978 2.106
```

Output
Offset from the most stable computed form (meV/atom): 239
E_form (eV per atom): 0.3566
N(E_F) (states/eV per atom): 1.139
Space group: F-43m, No. 216

=====

[2]
Below is a relaxed structure of Y2TcPb, with properties calculated at the GGA-PBE level.

```
4
Lattice="-0.905 1.333 5.552 4.075 -1.958 3.603 0.030 2.979 -4.954" Properties=species:S:1:pos:R:3 pbc="T T T"
Pb 1.585 -0.312 4.577
Y 0.000 0.000 0.000
Y 2.845 0.354 1.613
Tc 0.355 2.000 2.587
```

Output
E_form (eV per atom): 0.0521
N(E_F) (states/eV per atom): 1.021
Space group: I-4m2, No. 119